[1]
First-principles (GGA-PBE) data for a relaxed Sr2BeW crystal, as listed in Alexandria.

abc: 3.135 4.889 6.370
angles: 90.00 90.00 90.00
Sites, in units of the cell vectors:
Sr: 0.000 0.000 0.249
Sr: 0.000 0.000 0.751
Be: 0.500 0.500 0.000
W: 0.500 0.500 0.500

**ΔE_f**: 1.31 eV per atom
**Total magnetic moment**: 0.0 μB per cell
**DOS(E_F)**: 4.24 states/eV/f.u.

[2]
First-principles (GGA-PBE) data for a relaxed Tb2DyY2Tm2 crystal, as listed in Alexandria.

abc: 8.738 8.738 8.738
angles: 37.66 37.66 37.66
Sites, in units of the cell vectors:
Tb: 0.215 0.215 0.215
Tb: 0.785 0.785 0.785
Dy: 0.500 0.500 0.500
Y: 0.358 0.358 0.358
Y: 0.642 0.642 0.642
Tm: 0.071 0.071 0.071
Tm: 0.929 0.929 0.929

**ΔE_f**: 0.14 eV per atom
**Total magnetic moment**: 0.0 μB per cell
**DOS(E_F)**: 17.41 states/eV/f.u.